The following is a PBE calculation of Cr2CdI after structural relaxation, from the Alexandria database.

Calculated values
The value obtained for the uncorrected formation energy is 826.7 meV per atom. The total magnetic moment comes out at 8.96 μB/f.u. For the density of states at the Fermi level, the calculation gives 0.70 states/eV/atom. As for the distance to the lowest polymorph of the same formula: 0.000 eV/atom. The space group is Fm-3m.

a b c (Å): 5.0303 5.0303 5.0303
angles (deg): 60.00 60.00 60.00
Last column: nearest neighbours and their distance in Å.
Atoms (fractional coordinates):
1 Cr 0.2500 0.2500 0.2500  4 I 3.08, 4 Cd 3.08
2 Cr 0.7500 0.7500 0.7500  4 I 3.08, 4 Cd 3.08
3 Cd 0.0000 0.0000 0.0000  8 Cr 3.08
4 I 0.5000 0.5000 0.5000  8 Cr 3.08



The following is a PBE calculation of AcNbGa after structural relaxation, from the Alexandria database.

Calculated values
Its formation energy is -33.9 meV per atom. The total magnetic moment comes out at 0.00 μB/f.u. For the density of states at the Fermi level, the calculation gives 1.12 states/eV/atom. The space group is P4/mmm.

a b c (Å): 3.6726 3.6726 11.5312
angles (deg): 90.00 90.00 90.00
Last column: nearest neighbours and their distance in Å.
Atoms (fractional coordinates):
1 Ac 0.0000 0.0000 0.1913  5 Ga 3.41-3.56, 4 Nb 3.53, 4 Ac 3.67
2 Ac 0.0000 0.0000 0.8087  5 Ga 3.41-3.56, 4 Nb 3.53, 4 Ac 3.67
3 Nb 0.5000 0.5000 0.3986  1 Nb 2.34
4 Nb 0.5000 0.5000 0.6014  1 Nb 2.34
5 Ga 0.0000 0.0000 0.5000  8 Nb 2.85
6 Ga 0.5000 0.5000 0.0000  8 Ac 3.41, 4 Ga 3.67



The following is a PBE calculation of Cr2ReTc after structural relaxation, from the Alexandria database.

Calculated values
Its formation energy is 55.3 meV per atom. The total magnetic moment comes out at 0.00 μB/f.u. For the density of states at the Fermi level, the calculation gives 1.23 states/eV/atom. The space group is P4/mmm.

a b c (Å): 2.9816 2.9816 5.9778
angles (deg): 90.00 90.00 90.00
Last column: nearest neighbours and their distance in Å.
Atoms (fractional coordinates):
1 Cr 0.0000 0.0000 0.2470  4 Re 2.57, 4 Tc 2.59
2 Cr 0.0000 0.0000 0.7530  4 Re 2.57, 4 Tc 2.59
3 Re 0.5000 0.5000 0.0000  8 Cr 2.57
4 Tc 0.5000 0.5000 0.5000  8 Cr 2.59



The following is a PBE calculation of YSbAsI2 after structural relaxation, from the Alexandria database.

Calculated values
The value obtained for the uncorrected formation energy is 17.3 meV per atom. The total magnetic moment comes out at 0.99 μB/f.u. For the density of states at the Fermi level, the calculation gives 0.09 states/eV/atom. As for the distance to the lowest polymorph of the same formula: 0.000 eV/atom. The space group is P4/mmm.

a b c (Å): 5.8541 5.8541 6.3523
angles (deg): 90.00 90.00 90.00
Last column: nearest neighbours and their distance in Å.
Atoms (fractional coordinates):
1 Y 0.0000 0.0000 0.0000  4 I 2.93, 2 Sb 3.18
2 Sb 0.0000 0.0000 0.5000  2 Y 3.18
3 As 0.5000 0.5000 0.5000  4 Sb 4.14, 8 I 4.32
4 I 0.0000 0.5000 0.0000  2 Y 2.93
5 I 0.5000 0.0000 0.0000  2 Y 2.93



The following is a PBE calculation of AcPuCuO6 after structural relaxation, from the Alexandria database.

Calculated values
The value obtained for the uncorrected formation energy is -2245.3 meV per atom. The total magnetic moment comes out at 0.02 μB/f.u. For the density of states at the Fermi level, the calculation gives 0.03 states/eV/atom. The space group is C2.

a b c (Å): 5.2823 5.2823 5.4488
angles (deg): 92.10 92.10 114.78
Last column: nearest neighbours and their distance in Å.
Atoms (fractional coordinates):
1 Ac 0.0000 0.0000 0.0000  6 O 2.49-2.54
2 Pu 0.6425 0.3575 0.5000  6 O 1.96-2.10
3 Cu 0.3054 0.6946 0.5000  4 O 1.96-2.01
4 O 0.3408 0.0348 0.6843  1 Cu 1.96, 1 Pu 2.10
5 O 0.3435 0.3982 0.2840  1 Cu 2.01, 1 Pu 2.02
6 O 0.6018 0.6565 0.7160  1 Cu 2.01, 1 Pu 2.02
7 O 0.6446 0.0689 0.2645  1 Pu 1.96
8 O 0.9311 0.3554 0.7355  1 Pu 1.96
9 O 0.9652 0.6592 0.3157  1 Cu 1.96, 1 Pu 2.10



The following is a PBE calculation of SrHg2H2 after structural relaxation, from the Alexandria database.

Calculated values
The total magnetic moment comes out at 0.00 μB/f.u. For the density of states at the Fermi level, the calculation gives 0.30 states/eV/atom. As for the distance to the lowest polymorph of the same formula: 0.000 eV/atom. The space group is P4/mbm.

a b c (Å): 6.4246 6.4246 4.7260
angles (deg): 90.00 90.00 90.00
Last column: nearest neighbours and their distance in Å.
Atoms (fractional coordinates):
1 Sr 0.0000 0.0000 0.0000  4 H 2.40
2 Sr 0.5000 0.5000 0.0000  4 H 2.40
3 Hg 0.1695 0.3305 0.5000  2 H 2.36
4 Hg 0.3305 0.8305 0.5000  2 H 2.36
5 Hg 0.6695 0.1695 0.5000  2 H 2.36
6 Hg 0.8305 0.6695 0.5000  2 H 2.36
7 H 0.1640 0.3360 0.0000  2 Hg 2.36, 2 Sr 2.40
8 H 0.3360 0.8360 0.0000  2 Hg 2.36, 2 Sr 2.40
9 H 0.6640 0.1640 0.0000  2 Hg 2.36, 2 Sr 2.40
10 H 0.8360 0.6640 0.0000  2 Hg 2.36, 2 Sr 2.40



The following is a PBE calculation of TmNp5N6 after structural relaxation, from the Alexandria database.

Calculated values
The value obtained for the uncorrected formation energy is -1215.7 meV per atom. The total magnetic moment comes out at 16.53 μB/f.u. For the density of states at the Fermi level, the calculation gives 1.85 states/eV/atom. The space group is C2/m.

a b c (Å): 5.9628 5.9628 5.9640
angles (deg): 99.56 99.56 120.00
Last column: nearest neighbours and their distance in Å.
Atoms (fractional coordinates):
1 Tm 0.0000 0.0000 0.0000  6 N 2.43
2 Np 0.1657 0.8343 0.5000  6 N 2.43-2.45
3 Np 0.3332 0.6668 0.0000  6 N 2.43-2.44
4 Np 0.5000 0.5000 0.5000  6 N 2.44
5 Np 0.6668 0.3332 0.0000  6 N 2.43-2.44
6 Np 0.8343 0.1657 0.5000  6 N 2.43-2.45
7 N 0.0823 0.4154 0.2477  1 Tm 2.43, 5 Np 2.43-2.45
8 N 0.2494 0.2494 0.7501  5 Np 2.43-2.44, 1 Tm 2.43
9 N 0.4154 0.0823 0.2477  1 Tm 2.43, 5 Np 2.43-2.45
10 N 0.5846 0.9177 0.7523  1 Tm 2.43, 5 Np 2.43-2.45
11 N 0.7506 0.7506 0.2499  5 Np 2.43-2.44, 1 Tm 2.43
12 N 0.9177 0.5846 0.7523  1 Tm 2.43, 5 Np 2.43-2.45



The following is a PBE calculation of Tb4Pm5Zn after structural relaxation, from the Alexandria database.

Calculated values
Its formation energy is -50.9 meV per atom. The total magnetic moment comes out at 0.00 μB/f.u. For the density of states at the Fermi level, the calculation gives 1.21 states/eV/atom. The space group is P4/mmm.

a b c (Å): 3.6281 3.6281 23.9345
angles (deg): 90.00 90.00 90.00
Last column: nearest neighbours and their distance in Å.
Atoms (fractional coordinates):
1 Tb 0.0000 0.0000 0.1054  8 Pm 3.60-3.61, 4 Tb 3.63
2 Tb 0.0000 0.0000 0.3161  8 Pm 3.59-3.63, 4 Tb 3.63
3 Tb 0.0000 0.0000 0.6839  8 Pm 3.59-3.63, 4 Tb 3.63
4 Tb 0.0000 0.0000 0.8946  8 Pm 3.60-3.61, 4 Tb 3.63
5 Pm 0.5000 0.5000 0.0000  8 Tb 3.60, 4 Pm 3.63
6 Pm 0.5000 0.5000 0.2114  8 Tb 3.59-3.61, 4 Pm 3.63
7 Pm 0.5000 0.5000 0.4237  4 Zn 3.15
8 Pm 0.5000 0.5000 0.5763  4 Zn 3.15
9 Pm 0.5000 0.5000 0.7886  8 Tb 3.59-3.61, 4 Pm 3.63
10 Zn 0.0000 0.0000 0.5000  8 Pm 3.15



no.,final energy (eV/atom)
1,-4.6013
2,-5.7689
3,-10.4599
4,-3.6499
5,-8.0548
6,-1.9139
7,-11.1429
8,-4.4057